Below is CaAcGa after structural relaxation, with properties calculated at the PBE level.

**Density of states at the Fermi level**: 0.687 states/eV/atom
**E**: -19.8 eV for the cell shown
**Total magnetic moment**: 0.0000 μB/atom
**E_form**: -0.255 eV per atom

```
CaAcGa
1.0
12.080 -7.671 0.000
-9.690 10.531 0.000
0.000 0.000 3.874
Ca Ga Ac
2 2 2
direct
0.562 0.438 0.250 Ca
0.438 0.562 0.750 Ca
0.878 0.122 0.250 Ga
0.122 0.878 0.750 Ga
0.692 0.308 0.250 Ac
0.308 0.692 0.750 Ac
```